--- i ---
Compound: CaPaNi2
Source: Alexandria
Functional: PBE-GGA
Structure: optimized geometry

Cell: 7.4149 7.4149 7.4149 Å, 29.37 29.37 29.37°
Last column: nearest neighbours and their distance in Å.
Positions (direct):
Ca: 0.0000 0.0000 0.0000  6 Ni 2.97
Pa: 0.5000 0.5000 0.5000  6 Ni 2.65
Ni: 0.2380 0.2380 0.2380  3 Pa 2.65
Ni: 0.7620 0.7620 0.7620  3 Pa 2.65

Calculated values
Space group = No. 166
DOS at the Fermi energy = 3.56 states/eV/cell

=====

--- ii ---
Compound: CaPaNi2
Source: Alexandria
Functional: PBE-GGA
Structure: optimized geometry

Cell: 3.4205 3.4205 6.9976 Å, 90.00 90.00 90.00°
Last column: nearest neighbours and their distance in Å.
Positions (direct):
Ca: 0.0000 0.0000 0.0000  8 Ni 3.26, 4 Ca 3.42, 2 Pa 3.50
Pa: 0.0000 0.0000 0.5000  8 Ni 2.75
Ni: 0.5000 0.5000 0.3118  1 Ni 2.63, 4 Pa 2.75
Ni: 0.5000 0.5000 0.6882  1 Ni 2.63, 4 Pa 2.75

Calculated values
Space group = No. 123
DOS at the Fermi energy = 2.64 states/eV/cell

=====

--- iii ---
Compound: CaPaNi2
Source: Alexandria
Functional: PBE-GGA
Structure: optimized geometry

Cell: 3.4554 3.4553 14.2033 Å, 90.00 90.02 90.00°
Last column: nearest neighbours and their distance in Å.
Positions (direct):
Ca: 0.2485 0.2500 0.3844  4 Ni 3.20, 1 Pa 3.38, 4 Ca 3.46
Ca: 0.7515 0.7500 0.6156  4 Ni 3.20, 1 Pa 3.38, 4 Ca 3.46
Pa: 0.2488 0.2500 0.1463  9 Ni 2.76-2.81
Pa: 0.7512 0.7500 0.8537  9 Ni 2.76-2.81
Ni: 0.2515 0.2500 0.7611  1 Ni 2.71, 4 Pa 2.77-2.78
Ni: 0.2508 0.2500 0.9519  5 Ni 2.71-2.80, 5 Pa 2.76-2.81
Ni: 0.7492 0.7500 0.0481  5 Ni 2.71-2.80, 5 Pa 2.76-2.81
Ni: 0.7485 0.7500 0.2389  1 Ni 2.71, 4 Pa 2.77-2.78

Calculated values
Space group = No. 11
DOS at the Fermi energy = 7.92 states/eV/cell

=====

Relative energies in eV/atom: i 0.129; ii 0.000; iii 0.044

=====

--- i ---
Compound: Ca2NiPb2
Source: Alexandria
Functional: PBE-GGA
Structure: optimized geometry

Cell: 6.1462 6.1462 11.3181 Å, 115.02 115.02 44.31°
Last column: nearest neighbours and their distance in Å.
Positions (direct):
Ca: 0.0019 0.0019 0.3358  7 Pb 3.23-3.51, 4 Ni 3.27-3.58
Ca: 0.1830 0.1830 0.1120  6 Pb 3.28-3.40, 2 Ni 3.38
Ca: 0.8170 0.8170 0.8880  6 Pb 3.28-3.40, 2 Ni 3.38
Ca: 0.9981 0.9981 0.6642  7 Pb 3.23-3.51, 4 Ni 3.27-3.58
Ni: 0.2822 0.2822 0.6573  4 Pb 2.65-2.82
Ni: 0.7178 0.7178 0.3427  4 Pb 2.65-2.82
Pb: 0.3355 0.3355 0.4376  3 Ni 2.65-2.82
Pb: 0.4798 0.4798 0.1281  1 Ni 2.69
Pb: 0.5202 0.5202 0.8719  1 Ni 2.69
Pb: 0.6645 0.6645 0.5624  3 Ni 2.65-2.82

Calculated values
Space group = No. 12
DOS at the Fermi energy = 6.24 states/eV/cell

=====

--- ii ---
Compound: Ca2NiPb2
Source: Alexandria
Functional: PBE-GGA
Structure: optimized geometry

Cell: 7.2897 7.2897 5.0165 Å, 90.00 90.00 90.00°
Last column: nearest neighbours and their distance in Å.
Positions (direct):
Ca: 0.1652 0.3348 0.0000  6 Pb 3.14-3.41, 1 Ca 3.41
Ca: 0.3348 0.8348 0.0000  6 Pb 3.14-3.41, 1 Ca 3.41
Ca: 0.6652 0.1652 0.0000  6 Pb 3.14-3.41, 1 Ca 3.41
Ca: 0.8348 0.6652 0.0000  6 Pb 3.14-3.41, 1 Ca 3.41
Ni: 0.0000 0.0000 0.5000  4 Pb 2.77
Ni: 0.5000 0.5000 0.5000  4 Pb 2.77
Pb: 0.1523 0.6523 0.5000  2 Ni 2.77
Pb: 0.3477 0.1523 0.5000  2 Ni 2.77
Pb: 0.6523 0.8477 0.5000  2 Ni 2.77
Pb: 0.8477 0.3477 0.5000  2 Ni 2.77

Calculated values
Space group = No. 127
DOS at the Fermi energy = 3.74 states/eV/cell

=====

Relative energies in eV/atom: i 0.000; ii 0.129

=====

--- i ---
Compound: CaNiPd2
Source: Alexandria
Functional: PBE-GGA
Structure: optimized geometry

Cell: 4.5617 4.5617 4.5617 Å, 60.00 60.00 60.00°
Last column: nearest neighbours and their distance in Å.
Positions (direct):
Ca: 0.0000 0.0000 0.0000  8 Pd 2.79
Ni: 0.5000 0.5000 0.5000  8 Pd 2.79
Pd: 0.2500 0.2500 0.2500  4 Ca 2.79, 4 Ni 2.79
Pd: 0.7500 0.7500 0.7500  4 Ni 2.79, 4 Ca 2.79

Calculated values
Space group = No. 225
DOS at the Fermi energy = 1.01 states/eV/cell

=====

--- ii ---
Compound: CaNiPd2
Source: Alexandria
Functional: PBE-GGA
Structure: optimized geometry

Cell: 9.5484 9.5484 9.5484 Å, 155.67 155.67 34.67°
Last column: nearest neighbours and their distance in Å.
Positions (direct):
Ca: 0.0000 0.0000 0.0000  4 Pd 2.74, 4 Ni 2.85
Ca: 0.7500 0.2500 0.5000  4 Pd 2.74, 4 Ni 2.85
Ni: 0.2500 0.7500 0.5000  4 Pd 2.64, 4 Ca 2.85
Ni: 0.5000 0.5000 0.0000  4 Pd 2.64, 4 Ca 2.85
Pd: 0.1577 0.6250 0.0327  2 Ni 2.64, 2 Pd 2.67, 2 Ca 2.74
Pd: 0.3750 0.4077 0.5327  2 Ni 2.64, 2 Pd 2.67, 2 Ca 2.74
Pd: 0.5923 0.1250 0.9673  2 Ni 2.64, 2 Pd 2.67, 2 Ca 2.74
Pd: 0.8750 0.8423 0.4673  2 Ni 2.64, 2 Pd 2.67, 2 Ca 2.74

Calculated values
Space group = No. 122
DOS at the Fermi energy = 7.91 states/eV/cell

=====

Relative energies in eV/atom: i 0.000; ii 0.220

=====

--- i ---
Compound: CaNi2Pd2
Source: Alexandria
Functional: PBE-GGA
Structure: optimized geometry

Cell: 5.8197 5.8197 5.8197 Å, 138.25 138.25 60.53°
Last column: nearest neighbours and their distance in Å.
Positions (direct):
Ca: 0.0000 0.0000 0.0000  8 Ni 3.13, 8 Pd 3.26
Ni: 0.3908 0.3908 0.0000  1 Ni 2.20
Ni: 0.6092 0.6092 0.0000  1 Ni 2.20
Pd: 0.2500 0.7500 0.5000  4 Ni 2.51
Pd: 0.7500 0.2500 0.5000  4 Ni 2.51

Calculated values
Space group = No. 139
DOS at the Fermi energy = 6.79 states/eV/cell

=====

--- ii ---
Compound: CaNi2Pd2
Source: Alexandria
Functional: PBE-GGA
Structure: optimized geometry

Cell: 7.4386 7.4386 2.8564 Å, 90.00 90.00 90.00°
Last column: nearest neighbours and their distance in Å.
Positions (direct):
Ca: 0.0000 0.0000 0.0000  2 Ca 2.86, 4 Pd 2.90, 8 Ni 3.13
Ca: 0.5000 0.5000 0.0000  2 Ca 2.86, 4 Pd 2.90, 8 Ni 3.13
Ni: 0.1644 0.3356 0.5000  6 Pd 2.57-2.64, 2 Ni 2.86
Ni: 0.3356 0.8356 0.5000  6 Pd 2.57-2.64, 2 Ni 2.86
Ni: 0.6644 0.1644 0.5000  6 Pd 2.57-2.64, 2 Ni 2.86
Ni: 0.8356 0.6644 0.5000  6 Pd 2.57-2.64, 2 Ni 2.86
Pd: 0.1330 0.6330 0.0000  6 Ni 2.57-2.64, 3 Pd 2.80-2.86
Pd: 0.3670 0.1330 0.0000  6 Ni 2.57-2.64, 3 Pd 2.80-2.86
Pd: 0.6330 0.8670 0.0000  6 Ni 2.57-2.64, 3 Pd 2.80-2.86
Pd: 0.8670 0.3670 0.0000  6 Ni 2.57-2.64, 3 Pd 2.80-2.86

Calculated values
Space group = No. 127
DOS at the Fermi energy = 9.42 states/eV/cell

=====

--- iii ---
Compound: CaNi2Pd2
Source: Alexandria
Functional: PBE-GGA
Structure: optimized geometry

Cell: 7.3973 7.3973 2.8733 Å, 90.00 90.00 90.00°
Last column: nearest neighbours and their distance in Å.
Positions (direct):
Ca: 0.0000 0.0000 0.0000  2 Ca 2.87, 4 Ni 2.96, 8 Pd 3.08
Ca: 0.5000 0.5000 0.0000  2 Ca 2.87, 4 Ni 2.96, 8 Pd 3.08
Ni: 0.1169 0.3831 0.0000  1 Ni 2.45, 6 Pd 2.58-2.65
Ni: 0.3831 0.8831 0.0000  1 Ni 2.45, 6 Pd 2.58-2.65
Ni: 0.6169 0.1169 0.0000  1 Ni 2.45, 6 Pd 2.58-2.65
Ni: 0.8831 0.6169 0.0000  1 Ni 2.45, 6 Pd 2.58-2.65
Pd: 0.1778 0.6778 0.5000  6 Ni 2.58-2.65, 2 Pd 2.87
Pd: 0.3222 0.1778 0.5000  6 Ni 2.58-2.65, 2 Pd 2.87
Pd: 0.6778 0.8222 0.5000  6 Ni 2.58-2.65, 2 Pd 2.87
Pd: 0.8222 0.3222 0.5000  6 Ni 2.58-2.65, 2 Pd 2.87

Calculated values
Space group = No. 127
DOS at the Fermi energy = 11.18 states/eV/cell

=====

Relative energies in eV/atom: i 0.008; ii 0.048; iii 0.000